## A
{"formula": "CdGa6Ag2", "functional": "PBE-GGA", "state": "optimized geometry", "dos_ef_per_ev_cell": 2.75, "m_tot_mub_per_fu": 0.00, "rho_g_cm3": 7.05, "spacegroup": "C2/m, No. 12", "lattice": [[6.3931, -1.4630, 0.0000], [6.3931, 1.4630, 0.0000], [-5.7866, 0.0000, 9.4037]], "species": ["Cd", "Ga", "Ga", "Ga", "Ga", "Ga", "Ga", "Ag", "Ag"], "frac_coords": [[0.0000, 0.0000, 0.0000], [0.0031, 0.0031, 0.2837], [0.2927, 0.2927, 0.1254], [0.3806, 0.3806, 0.4658], [0.6194, 0.6194, 0.5342], [0.7073, 0.7073, 0.8746], [0.9969, 0.9969, 0.7163], [0.3168, 0.3168, 0.7386], [0.6832, 0.6832, 0.2614]]}

---

## B
{"formula": "CdGa6Ag2", "functional": "PBE-GGA", "state": "optimized geometry", "dos_ef_per_ev_cell": 3.44, "m_tot_mub_per_fu": 0.00, "rho_g_cm3": 6.98, "spacegroup": "C2/m, No. 12", "lattice": [[7.5979, -4.1129, 0.0000], [7.5979, 4.1129, 0.0000], [-0.5189, 0.0000, 2.8430]], "species": ["Cd", "Ga", "Ga", "Ga", "Ga", "Ga", "Ga", "Ag", "Ag"], "frac_coords": [[0.0000, 0.0000, 0.0000], [0.1559, 0.4846, 0.3213], [0.3332, 0.6668, 0.5000], [0.4846, 0.1559, 0.3213], [0.5154, 0.8441, 0.6787], [0.6668, 0.3332, 0.5000], [0.8441, 0.5154, 0.6787], [0.1750, 0.1750, 0.6761], [0.8250, 0.8250, 0.3239]]}

---

Energies relative to the most stable structure, in meV/atom: A 0; B 29.

---

## A
{"formula": "Cd2Ga2Ag5", "functional": "PBE-GGA", "state": "optimized geometry", "dos_ef_per_ev_cell": 2.56, "m_tot_mub_per_fu": 0.00, "rho_g_cm3": 8.15, "spacegroup": "Amm2, No. 38", "lattice": [[7.9129, 0.0000, 0.0000], [0.0000, 2.8785, 4.0405], [0.0000, -2.8785, 4.0405]], "species": ["Cd", "Cd", "Ga", "Ga", "Ag", "Ag", "Ag", "Ag", "Ag"], "frac_coords": [[0.0000, 0.0000, 0.0000], [0.5000, 0.1121, 0.1121], [0.3440, 0.5082, 0.5082], [0.6560, 0.5082, 0.5082], [0.0000, 0.5054, 0.5054], [0.2038, 0.0058, 0.5029], [0.2038, 0.5029, 0.0058], [0.7962, 0.0058, 0.5029], [0.7962, 0.5029, 0.0058]]}

---

## B
{"formula": "Cd2Ga2Ag5", "functional": "PBE-GGA", "state": "optimized geometry", "dos_ef_per_ev_cell": 2.04, "m_tot_mub_per_fu": 0.00, "rho_g_cm3": 8.76, "spacegroup": "P-1, No. 2", "lattice": [[5.2541, 0.0000, 0.0000], [0.4862, 5.2802, 0.0000], [1.9869, 2.2712, 6.1777]], "species": ["Cd", "Cd", "Ga", "Ga", "Ag", "Ag", "Ag", "Ag", "Ag"], "frac_coords": [[0.0960, 0.2804, 0.3778], [0.9040, 0.7196, 0.6222], [0.3177, 0.8134, 0.1632], [0.6823, 0.1866, 0.8368], [0.1351, 0.2900, 0.9288], [0.3496, 0.8925, 0.7246], [0.5000, 0.5000, 0.5000], [0.6504, 0.1075, 0.2754], [0.8649, 0.7100, 0.0712]]}

---

Energies relative to the most stable structure, in meV/atom: A 39; B 0.

---

## A
{"formula": "CdGaAg3", "functional": "PBE-GGA", "state": "optimized geometry", "dos_ef_per_ev_cell": 2.14, "m_tot_mub_per_fu": 0.00, "rho_g_cm3": 7.14, "spacegroup": "Pm-3m, No. 221", "lattice": [[4.9006, 0.0000, 0.0000], [0.0000, 4.9006, 0.0000], [0.0000, 0.0000, 4.9006]], "species": ["Cd", "Ga", "Ag", "Ag", "Ag"], "frac_coords": [[0.0000, 0.0000, 0.0000], [0.5000, 0.5000, 0.5000], [0.0000, 0.5000, 0.5000], [0.5000, 0.0000, 0.5000], [0.5000, 0.5000, 0.0000]]}

---

## B
{"formula": "CdGaAg3", "functional": "PBE-GGA", "state": "optimized geometry", "dos_ef_per_ev_cell": 2.01, "m_tot_mub_per_fu": 0.00, "rho_g_cm3": 5.92, "spacegroup": "Pm-3m, No. 221", "lattice": [[5.2139, 0.0000, 0.0000], [0.0000, 5.2139, 0.0000], [0.0000, 0.0000, 5.2139]], "species": ["Cd", "Ga", "Ag", "Ag", "Ag"], "frac_coords": [[0.0000, 0.0000, 0.0000], [0.5000, 0.5000, 0.5000], [0.0000, 0.0000, 0.5000], [0.0000, 0.5000, 0.0000], [0.5000, 0.0000, 0.0000]]}

---

## C
{"formula": "CdGaAg3", "functional": "PBE-GGA", "state": "optimized geometry", "dos_ef_per_ev_cell": 2.75, "m_tot_mub_per_fu": 0.00, "rho_g_cm3": 8.71, "spacegroup": "P-1, No. 2", "lattice": [[4.0952, 0.0000, 0.0000], [-2.0093, 4.6362, 0.0000], [-0.0167, -1.2052, 10.1549]], "species": ["Cd", "Cd", "Ga", "Ga", "Ag", "Ag", "Ag", "Ag", "Ag", "Ag"], "frac_coords": [[0.1365, 0.2774, 0.4337], [0.8635, 0.7226, 0.5663], [0.4490, 0.9022, 0.1192], [0.5510, 0.0978, 0.8808], [0.1548, 0.3091, 0.0481], [0.2713, 0.5430, 0.7511], [0.4261, 0.8535, 0.3664], [0.5739, 0.1465, 0.6336], [0.7287, 0.4570, 0.2489], [0.8452, 0.6909, 0.9519]]}

---

## D
{"formula": "CdGaAg3", "functional": "PBE-GGA", "state": "optimized geometry", "dos_ef_per_ev_cell": 5.50, "m_tot_mub_per_fu": 0.00, "rho_g_cm3": 9.15, "spacegroup": "P2_1/c, No. 14", "lattice": [[7.2415, 0.0000, 0.0000], [0.0000, 5.9449, 0.0000], [-5.1547, 0.0000, 8.5245]], "species": ["Cd", "Cd", "Cd", "Cd", "Ga", "Ga", "Ga", "Ga", "Ag", "Ag", "Ag", "Ag", "Ag", "Ag", "Ag", "Ag", "Ag", "Ag", "Ag", "Ag"], "frac_coords": [[0.2051, 0.1305, 0.0550], [0.2051, 0.3695, 0.5550], [0.7949, 0.6305, 0.4450], [0.7949, 0.8695, 0.9450], [0.3905, 0.6275, 0.8547], [0.3905, 0.8725, 0.3547], [0.6095, 0.1275, 0.6453], [0.6095, 0.3725, 0.1453], [0.0053, 0.6238, 0.2527], [0.0053, 0.8762, 0.7527], [0.2067, 0.6230, 0.0560], [0.2067, 0.8770, 0.5560], [0.4005, 0.1310, 0.8546], [0.4005, 0.3690, 0.3546], [0.5995, 0.6310, 0.6454], [0.5995, 0.8690, 0.1454], [0.7933, 0.1230, 0.4440], [0.7933, 0.3770, 0.9440], [0.9947, 0.1238, 0.2473], [0.9947, 0.3762, 0.7473]]}

---

Energies relative to the most stable structure, in meV/atom: A 399; B 634; C 35; D 0.

---

## A
{"formula": "Cd3Ga2Ag3", "functional": "PBE-GGA", "state": "optimized geometry", "dos_ef_per_ev_cell": 2.68, "m_tot_mub_per_fu": 0.00, "rho_g_cm3": 8.50, "spacegroup": "C2/m, No. 12", "lattice": [[8.9861, -1.9634, 0.0000], [8.9861, 1.9634, 0.0000], [-0.4216, 0.0000, 4.4311]], "species": ["Cd", "Cd", "Cd", "Ga", "Ga", "Ag", "Ag", "Ag"], "frac_coords": [[0.0000, 0.0000, 0.0000], [0.1231, 0.1231, 0.5621], [0.8769, 0.8769, 0.4379], [0.2481, 0.2481, 0.2370], [0.7519, 0.7519, 0.7630], [0.3758, 0.3758, 0.9437], [0.5000, 0.5000, 0.5000], [0.6242, 0.6242, 0.0563]]}

---

## B
{"formula": "Cd3Ga2Ag3", "functional": "PBE-GGA", "state": "optimized geometry", "dos_ef_per_ev_cell": 4.14, "m_tot_mub_per_fu": 0.00, "rho_g_cm3": 8.38, "spacegroup": "Cmcm, No. 63", "lattice": [[1.5437, -7.1313, 0.0000], [1.5437, 7.1313, 0.0000], [0.0000, 0.0000, 14.4119]], "species": ["Cd", "Cd", "Cd", "Cd", "Cd", "Cd", "Ga", "Ga", "Ga", "Ga", "Ag", "Ag", "Ag", "Ag", "Ag", "Ag"], "frac_coords": [[0.0414, 0.9586, 0.6425], [0.0414, 0.9586, 0.8575], [0.3647, 0.6353, 0.7500], [0.6353, 0.3647, 0.2500], [0.9586, 0.0414, 0.1425], [0.9586, 0.0414, 0.3575], [0.2466, 0.7534, 0.0818], [0.2466, 0.7534, 0.4182], [0.7534, 0.2466, 0.5818], [0.7534, 0.2466, 0.9182], [0.3204, 0.6796, 0.2500], [0.4057, 0.5943, 0.5321], [0.4057, 0.5943, 0.9679], [0.5943, 0.4057, 0.0321], [0.5943, 0.4057, 0.4679], [0.6796, 0.3204, 0.7500]]}

---

Energies relative to the most stable structure, in meV/atom: A 6; B 0.